VASP calculation (PBE) on crystalline SrLiGa at its relaxed geometry.

- Total magnetic moment: 0.00 μB per cell
- Calculated total energy: -7.2 eV/f.u.
- Energy relative to the lowest polymorph listed for this composition: 0.36 eV per formula unit

Structure (extended XYZ):
```
3
Lattice="-0.313 3.336 -1.778 -0.090 -1.790 -3.343 -5.260 -1.111 2.888" Properties=species:S:1:pos:R:3 pbc="T T T"
Li -1.890 0.668 -2.459
Sr -5.028 0.474 -2.271
Ga -2.770 -0.172 0.166
```



VASP calculation (PBE) on crystalline Sr3Li3Ga8 at its relaxed geometry.

- Total magnetic moment: 0.00 μB per cell
- Calculated total energy: -40.7 eV/f.u.

Structure (extended XYZ):
```
14
Lattice="4.297 0.000 1.170 1.514 8.146 2.914 -0.084 0.105 8.782" Properties=species:S:1:pos:R:3 pbc="T T T"
Ga 3.706 5.167 3.339
Ga 1.403 3.863 3.323
Ga 0.969 1.679 4.917
Ga 2.897 7.495 6.309
Ga 4.325 4.388 9.544
Ga 2.830 0.756 6.557
Ga 2.021 3.085 9.528
Ga 4.759 6.572 7.950
Sr 1.997 6.621 9.616
Sr 2.864 4.126 6.433
Sr 3.730 1.631 3.250
Li 1.173 6.427 4.169
Li 2.148 0.000 0.585
Li 0.258 1.824 7.528
```



VASP calculation (PBE) on crystalline SrLi4Ga2 at its relaxed geometry.

- Total magnetic moment: 0.00 μB per cell
- Calculated total energy: -16.9 eV/f.u.

Structure (extended XYZ):
```
7
Lattice="4.743 0.000 0.000 0.000 4.514 -1.341 0.000 -0.333 7.147" Properties=species:S:1:pos:R:3 pbc="T T T"
Li 2.372 0.769 2.589
Li 2.372 3.411 3.217
Li 0.000 1.202 4.049
Li 0.000 2.978 1.757
Ga 2.372 1.568 5.280
Ga 2.372 2.612 0.526
Sr 0.000 0.000 0.000
```



- What is the calculated total energy in the second record?
  -40.7 eV/f.u.